[1]
Here is CsYFe2 after structural relaxation from Alexandria. Energies are from PBE.

abc: 5.1732 5.1732 5.1732
angles: 60.00 60.00 60.00
Each line ends with the local moment (μB).
Positions (direct):
Fe 0.7500 0.7500 0.7500  2.75
Fe 0.2500 0.2500 0.2500  2.75
Y 0.0000 0.0000 0.0000  -0.49
Cs 0.5000 0.5000 0.5000  -0.02

- Energy of formation from the pure elements: 1.251 eV/atom

---

[2]
Here is TbHoI2 after structural relaxation from Alexandria. Energies are from PBE.

abc: 3.8380 3.8380 10.8757
angles: 79.84 79.84 60.00
Positions (direct):
I 0.0970 0.0970 0.7090
I 0.9030 0.9030 0.2910
Ho 0.0000 0.0000 0.0000
Tb 0.5000 0.5000 0.5000

- Energy relative to the elements, uncorrected: -0.6340 eV per atom

---

[3]
Here is NbMoRh after structural relaxation from Alexandria. Energies are from PBE.

abc: 3.2481 3.2481 5.1780
angles: 108.28 108.28 90.00
Positions (direct):
Nb 0.9483 0.9483 0.8966
Rh 0.6149 0.6149 0.2298
Mo 0.2868 0.2868 0.5736

- Energy of formation from the pure elements: 0.007 eV/atom
- Relative energy among the computed polymorphs: 50 kJ/mol of formula units

---

[4]
Here is Sr2MgIn4Hg3 after structural relaxation from Alexandria. Energies are from PBE.

abc: 4.5797 4.5797 13.3257
angles: 90.00 90.00 90.00
Positions (direct):
Hg 0.0000 0.0000 0.5000
Hg 0.0000 0.5000 0.1467
Hg 0.5000 0.0000 0.8533
In 0.0000 0.5000 0.3602
In 0.5000 0.0000 0.6398
In 0.0000 0.0000 0.0000
In 0.5000 0.5000 0.0000
Sr 0.5000 0.0000 0.2431
Sr 0.0000 0.5000 0.7569
Mg 0.5000 0.5000 0.5000

- Energy of formation from the pure elements: -0.310 eV/atom

---

[5]
Here is NaAlPt2 after structural relaxation from Alexandria. Energies are from PBE.

abc: 7.1925 7.1925 5.8041
angles: 51.71 51.71 90.00
Positions (direct):
Na 0.5000 0.5000 0.0000
Na 0.2500 0.7500 0.5000
Al 0.0000 0.0000 0.0000
Al 0.7500 0.2500 0.5000
Pt 0.3750 0.3280 0.7500
Pt 0.8750 0.9220 0.7500
Pt 0.0780 0.6250 0.2500
Pt 0.6720 0.1250 0.2500

- Energy of formation from the pure elements: -0.312 eV/atom

---

[6]
Here is Dy3ErZn2 after structural relaxation from Alexandria. Energies are from PBE.

abc: 5.0154 6.7209 9.0527
angles: 90.00 90.00 90.00
Positions (direct):
Er 0.5000 0.5156 0.5555
Er 0.5000 0.0156 0.4445
Dy 0.0000 0.9850 0.0556
Dy 0.0000 0.3308 0.3276
Dy 0.5000 0.1683 0.8247
Dy 0.0000 0.8308 0.6724
Dy 0.5000 0.6683 0.1753
Dy 0.0000 0.4850 0.9444
Zn 0.5000 0.7255 0.8493
Zn 0.0000 0.2748 0.6498
Zn 0.5000 0.2255 0.1507
Zn 0.0000 0.7748 0.3502

- Energy of formation from the pure elements: -0.232 eV/atom
- Relative energy among the computed polymorphs: 0 kJ/mol of formula units

---

[7]
Here is RbTcN2 after structural relaxation from Alexandria. Energies are from PBE.

abc: 4.2220 4.2220 4.2220
angles: 60.00 60.00 60.00
Each line ends with the local moment (μB).
Positions (direct):
N 0.7500 0.7500 0.7500  -0.36
N 0.2500 0.2500 0.2500  -0.36
Tc 0.5000 0.5000 0.5000  2.32
Rb 0.0000 0.0000 0.0000  0.03

- Energy relative to the elements, uncorrected: 1.9916 eV per atom
- Relative energy among the computed polymorphs: 834 kJ/mol of formula units

---

[8]
Here is Dy4Er3ThSe8 after structural relaxation from Alexandria. Energies are from PBE.

abc: 8.1701 8.1548 8.1744
angles: 120.11 119.98 90.00
Positions (direct):
Er 0.5000 0.5000 0.0000
Er 0.0000 0.5000 0.5000
Er 0.5000 0.5000 0.5000
Se 0.7455 0.2482 0.4910
Se 0.7455 0.2482 0.0027
Se 0.7428 0.7518 0.9973
Se 0.2545 0.7518 0.5090
Se 0.7487 0.7461 0.4974
Se 0.2572 0.2482 0.0027
Se 0.2513 0.2539 0.5026
Se 0.2545 0.7518 0.9973
Dy 0.5000 0.0000 0.5000
Dy 0.0000 0.0000 0.0000
Dy 0.5000 0.0000 0.0000
Dy 0.0000 0.0000 0.5000
Th 0.0000 0.5000 0.0000

- Energy relative to the elements, uncorrected: -1.6865 eV per atom

---

[9]
Here is Sc3UTl3S8 after structural relaxation from Alexandria. Energies are from PBE.

abc: 7.6493 7.6476 8.7621
angles: 115.90 90.00 120.01
Each line ends with the local moment (μB).
Positions (direct):
Sc 0.5000 0.0000 0.5000  0.04
Sc 0.0000 0.5000 0.5000  0.04
Sc 0.5000 0.5000 0.5000  0.04
S 0.7662 0.0438 0.3102  -0.03
S 0.7288 0.4577 0.6863  0.00
S 0.7224 0.9562 0.6898  -0.03
S 0.2776 0.0438 0.3102  -0.03
S 0.2712 0.5423 0.3137  0.00
S 0.2338 0.4677 0.6898  -0.03
S 0.7662 0.5323 0.3102  -0.03
S 0.2338 0.9562 0.6898  -0.03
Tl 0.0000 0.0000 0.0000  0.01
Tl 0.5000 0.5000 0.0000  0.01
Tl 0.0000 0.5000 0.0000  0.01
U 0.0000 0.0000 0.5000  1.87

- Energy relative to the elements, uncorrected: -1.3736 eV per atom

---

[10]
Here is MnMo2PtC after structural relaxation from Alexandria. Energies are from PBE.

abc: 4.1414 4.1414 3.9117
angles: 90.00 90.00 90.00
Each line ends with the local moment (μB).
Positions (direct):
Mo 0.5000 0.0000 0.0000  -0.28
Mo 0.0000 0.5000 0.0000  -0.28
C 0.0000 0.0000 0.0000  -0.02
Pt 0.5000 0.5000 0.5000  -0.01
Mn 0.0000 0.0000 0.5000  2.45

- Energy of formation from the pure elements: -0.037 eV/atom

---

[11]
Here is GdPaGaPt after structural relaxation from Alexandria. Energies are from PBE.

abc: 5.0352 5.0352 5.0352
angles: 60.00 60.00 60.00
Each line ends with the local moment (μB).
Positions (direct):
Ga 0.2500 0.2500 0.2500  -0.02
Gd 0.5000 0.5000 0.5000  7.14
Pa 0.0000 0.0000 0.0000  0.68
Pt 0.7500 0.7500 0.7500  -0.02

- Energy of formation from the pure elements: -0.540 eV/atom

---

[12]
Here is MgZnSe2 after structural relaxation from Alexandria. Energies are from PBE.

abc: 4.3333 4.3333 10.9034
angles: 90.00 90.00 90.00
Positions (direct):
Mg 0.0000 0.5000 0.6373
Mg 0.5000 0.0000 0.3627
Se 0.5000 0.0000 0.1317
Se 0.5000 0.5000 0.5000
Se 0.0000 0.0000 0.5000
Se 0.0000 0.5000 0.8683
Zn 0.0000 0.5000 0.1101
Zn 0.5000 0.0000 0.8899

- Energy relative to the elements, uncorrected: -0.3726 eV per atom

---

[13]
Here is Nd2Y2Bi2C after structural relaxation from Alexandria. Energies are from PBE.

abc: 4.8661 4.8661 8.9820
angles: 105.72 105.72 90.00
Positions (direct):
Bi 0.3605 0.3605 0.7209
Bi 0.6395 0.6395 0.2791
Nd 0.8414 0.8414 0.6828
Nd 0.1586 0.1586 0.3172
C 0.0000 0.0000 0.0000
Y 0.5000 0.0000 0.0000
Y 0.0000 0.5000 0.0000

- Energy of formation from the pure elements: -0.705 eV/atom

---

[14]
Here is Ba2Cd3In4Bi after structural relaxation from Alexandria. Energies are from PBE.

abc: 5.0211 5.0211 12.3346
angles: 90.00 90.00 90.00
Positions (direct):
Bi 0.5000 0.5000 0.5000
Ba 0.0000 0.5000 0.7570
Ba 0.5000 0.0000 0.2430
Cd 0.0000 0.5000 0.1276
Cd 0.0000 0.0000 0.5000
Cd 0.5000 0.0000 0.8724
In 0.0000 0.0000 0.0000
In 0.5000 0.5000 0.0000
In 0.0000 0.5000 0.3567
In 0.5000 0.0000 0.6433

- Energy of formation from the pure elements: -0.334 eV/atom

---

[15]
Here is EuDyTlCu after structural relaxation from Alexandria. Energies are from PBE.

abc: 5.2841 5.2841 5.2841
angles: 60.00 60.00 60.00
Each line ends with the local moment (μB).
Positions (direct):
Eu 0.2500 0.2500 0.2500  6.78
Dy 0.7500 0.7500 0.7500  -0.03
Tl 0.0000 0.0000 0.0000  -0.02
Cu 0.5000 0.5000 0.5000  -0.01

- Energy of formation from the pure elements: -0.196 eV/atom

---

[16]
Here is Ag12Cl5F3 after structural relaxation from Alexandria. Energies are from PBE.

abc: 13.6614 13.6614 13.6614
angles: 109.47 109.47 109.47
Positions (direct):
Cl 0.7500 0.6250 0.3750
Cl 0.8750 0.6250 0.7500
Cl 0.1250 0.3750 0.2500
Cl 0.8750 0.2500 0.6250
Cl 0.2500 0.8750 0.1250
Cl 0.2500 0.3750 0.6250
Cl 0.5000 0.0000 0.0000
Cl 0.1250 0.7500 0.3750
Cl 0.0000 0.0000 0.0000
Cl 0.3750 0.2500 0.1250
Cl 0.5000 0.5000 0.0000
Cl 0.6250 0.7500 0.8750
Cl 0.0000 0.0000 0.5000
Cl 0.5000 0.5000 0.5000
Cl 0.5000 0.0000 0.5000
Cl 0.7500 0.1250 0.8750
Cl 0.0000 0.5000 0.5000
Cl 0.6250 0.8750 0.2500
Cl 0.0000 0.5000 0.0000
Cl 0.3750 0.1250 0.7500
Ag 0.1043 0.1478 0.4307
Ag 0.3263 0.9307 0.7829
Ag 0.3957 0.3263 0.5434
Ag 0.6737 0.0693 0.2171
Ag 0.3957 0.0693 0.3522
Ag 0.3522 0.5693 0.3957
Ag 0.2171 0.6478 0.0434
Ag 0.0693 0.3957 0.8522
Ag 0.8263 0.2829 0.4307
Ag 0.2829 0.8263 0.9307
Ag 0.8522 0.9566 0.2829
Ag 0.0434 0.1478 0.2171
Ag 0.7171 0.1737 0.0693
Ag 0.7829 0.4307 0.3263
Ag 0.5434 0.8263 0.3957
Ag 0.1043 0.9566 0.1737
Ag 0.6478 0.4307 0.6043
Ag 0.6478 0.2171 0.5434
Ag 0.4566 0.1737 0.6043
Ag 0.1737 0.4566 0.1043
Ag 0.6043 0.6737 0.4566
Ag 0.4566 0.2829 0.3522
Ag 0.0434 0.8957 0.3263
Ag 0.1478 0.1043 0.9307
Ag 0.9566 0.8522 0.7829
Ag 0.2829 0.4566 0.8522
Ag 0.2171 0.5693 0.6737
Ag 0.9566 0.1043 0.6737
Ag 0.9307 0.6043 0.1478
Ag 0.3263 0.3957 0.0434
Ag 0.5693 0.2171 0.1737
Ag 0.1478 0.0434 0.7171
Ag 0.4307 0.7829 0.8263
Ag 0.7829 0.3522 0.9566
Ag 0.4307 0.6478 0.1043
Ag 0.9307 0.3263 0.2829
Ag 0.6043 0.9307 0.6478
Ag 0.8522 0.8957 0.0693
Ag 0.8263 0.5434 0.8957
Ag 0.5434 0.7171 0.6478
Ag 0.8957 0.0434 0.8263
Ag 0.0693 0.6737 0.7171
Ag 0.1737 0.7171 0.5693
Ag 0.7171 0.5434 0.1478
Ag 0.3522 0.7829 0.4566
Ag 0.6737 0.6043 0.9566
Ag 0.5693 0.3522 0.8957
Ag 0.8957 0.8522 0.5693
F 0.7500 0.3750 0.1250
F 0.2500 0.6250 0.8750
F 0.7500 0.8750 0.6250
F 0.6250 0.3750 0.7500
F 0.8750 0.7500 0.1250
F 0.3750 0.6250 0.2500
F 0.1250 0.8750 0.7500
F 0.8750 0.1250 0.2500
F 0.1250 0.2500 0.8750
F 0.2500 0.1250 0.3750
F 0.3750 0.7500 0.6250
F 0.6250 0.2500 0.3750

- Energy relative to the elements, uncorrected: -0.3217 eV per atom

---

[17]
Here is CsBe2Bi2O6 after structural relaxation from Alexandria. Energies are from PBE.

abc: 6.2466 6.3199 6.3608
angles: 115.90 90.01 60.37
Positions (direct):
O 0.3877 0.6254 0.8646
O 0.0123 0.3755 0.1359
O 0.6123 0.3746 0.1354
O 0.0659 0.8683 0.6243
O 0.9877 0.6245 0.8641
O 0.9341 0.1317 0.3757
Be 0.1436 0.7131 0.7685
Be 0.8564 0.2869 0.2315
Bi 0.1781 0.6437 0.1870
Bi 0.8219 0.3563 0.8130
Cs 0.5000 0.0000 0.5000

- Energy relative to the elements, uncorrected: -1.5581 eV per atom

---

[18]
Here is Pr4Si2S3O7 after structural relaxation from Alexandria. Energies are from PBE.

abc: 11.1641 11.1641 11.1641
angles: 100.14 114.33 114.33
Positions (direct):
O 0.2590 0.4498 0.4718
O 0.2410 0.9408 0.4627
O 0.4780 0.5373 0.7782
O 0.5220 0.3002 0.0592
O 0.2738 0.7242 0.4504
O 0.2738 0.5496 0.8235
O 0.0000 0.7708 0.7708
O 0.5000 0.9792 0.4792
O 0.7410 0.5282 0.5502
O 0.2410 0.3002 0.7782
O 0.7590 0.2218 0.6998
O 0.0220 0.2127 0.4718
O 0.2590 0.8092 0.7873
O 0.4780 0.9408 0.6998
O 0.7738 0.5735 0.7996
O 0.7262 0.5496 0.2758
O 0.9780 0.4498 0.1908
O 0.0000 0.2292 0.2292
O 0.0220 0.8092 0.5502
O 0.2262 0.0258 0.7996
O 0.7410 0.2127 0.1908
O 0.5220 0.2218 0.4627
O 0.7738 0.2004 0.9742
O 0.7262 0.1765 0.4504
O 0.9780 0.5282 0.7873
O 0.7590 0.5373 0.0592
O 0.5000 0.5208 0.0208
O 0.2262 0.2004 0.4265
S 0.6010 0.8750 0.9760
S 0.3990 0.0240 0.1250
S 0.6010 0.7260 0.6250
S 0.0000 0.5000 0.5000
S 0.8990 0.0240 0.6250
S 0.1010 0.7260 0.1250
S 0.0000 0.0000 0.0000
S 0.1010 0.3750 0.9760
S 0.5000 0.7500 0.2500
S 0.3990 0.3750 0.2740
S 0.5000 0.2500 0.7500
S 0.8990 0.8750 0.2740
Pr 0.7632 0.7315 0.9682
Pr 0.0000 0.3286 0.6714
Pr 0.7368 0.0185 0.2818
Pr 0.2368 0.0318 0.2685
Pr 0.0000 0.6714 0.3286
Pr 0.7368 0.7182 0.4550
Pr 0.3428 0.6714 0.6714
Pr 0.5000 0.0786 0.9214
Pr 0.7632 0.0318 0.7950
Pr 0.2632 0.5450 0.2818
Pr 0.2632 0.7182 0.9815
Pr 0.2368 0.2050 0.9682
Pr 0.8428 0.4214 0.9214
Pr 0.1572 0.0786 0.5786
Pr 0.6572 0.3286 0.3286
Pr 0.5000 0.4214 0.5786
Si 0.1240 0.8466 0.7227
Si 0.6240 0.1513 0.5273
Si 0.3760 0.9034 0.5273
Si 0.3760 0.4727 0.8487
Si 0.6240 0.4727 0.0966
Si 0.8760 0.2773 0.1534
Si 0.8760 0.5987 0.7227
Si 0.1240 0.2773 0.4013

- Energy relative to the elements, uncorrected: -2.8409 eV per atom

---

| no. | M_tot (μB/atom) | DFT total energy (eV per atom) |
| --- | --- | --- |
| 1 | 1.08 | -4.81 |
| 2 | 0.00 | -3.71 |
| 3 | 0.00 | -9.41 |
| 4 | 0.00 | -1.99 |
| 5 | 0.00 | -4.60 |
| 6 | 0.00 | -3.72 |
| 7 | 0.40 | -5.00 |
| 8 | 0.00 | -5.90 |
| 9 | 0.13 | -6.07 |
| 10 | 0.37 | -9.26 |
| 11 | 2.03 | -8.70 |
| 12 | 0.00 | -2.83 |
| 13 | 0.00 | -6.34 |
| 14 | 0.00 | -2.48 |
| 15 | 1.71 | -5.53 |
| 16 | 0.00 | -2.77 |
| 17 | 0.00 | -5.72 |
| 18 | 0.00 | -7.66 |